No. 1
Below is LaZnRu2 at its PBEsol-relaxed geometry, with properties calculated at the SCAN level.

Properties
- density of states at the Fermi level (states/eV/atom) = 0.816
- V (Å³ per cell) = 71
- formation energy from the elements (meV per atom) = 59
- magnetization (μB per atom) = 0.000
- E_tot (eV/cell) = -126.038

a b c (Å): 2.8482 3.6122 6.9020
angles (deg): 90.00 90.00 90.00
Fractional positions:
La 0.5000 0.5000 0.7626
Ru 0.0000 0.0000 0.0687
Ru 0.5000 0.5000 0.2276
Zn 0.0000 0.0000 0.4412

---

No. 2
Below is RbSc3I at its PBEsol-relaxed geometry, with properties calculated at the SCAN level.

Properties
- density of states at the Fermi level (states/eV/atom) = 1.016
- V (Å³ per cell) = 140
- magnetization (μB per atom) = 0.000
- E_tot (eV/cell) = -92.330

a b c (Å): 5.1966 5.1966 5.1966
angles (deg): 90.00 90.00 90.00
Fractional positions:
I 0.5000 0.5000 0.5000
Sc 0.0000 0.5000 0.0000
Sc 0.0000 0.0000 0.5000
Sc 0.5000 0.0000 0.0000
Rb 0.0000 0.0000 0.0000

---

- The highest V belongs to which entry?
  RbSc3I